Entry 1:
The following is a PBE calculation of a relaxed CoNi2Cl crystal, from the Alexandria database.

a = 2.857 Å, b = 4.761 Å, c = 7.730 Å
α = 90.00°, β = 90.00°, γ = 90.00°
Space group Cmm2 (No. 35)
Unique sites:
Co  0.000  0.000  0.000 [2 per cell]
Ni  0.000  0.000  0.506 [2 per cell]
Ni  0.000  0.500  0.755 [2 per cell]
Cl  0.000  0.500  0.254 [2 per cell]

Results
Uncorrected formation energy ... 0.488 eV per atom
M_tot ... 0.82 μB/atom
Offset from the most stable computed form ... 1.09 eV per formula unit
Total energy ... -0.3411 Ry/atom


Entry 2:
The following is a PBE calculation of a relaxed Er2AlGaNi6 crystal, from the Alexandria database.

a = 5.167 Å, b = 5.169 Å, c = 7.968 Å
α = 90.10°, β = 108.70°, γ = 119.99°
Space group P-1 (No. 2)
Unique sites:
Er  0.085  0.293  0.376 [2 per cell]
Al  0.500  0.500  0.000 [1 per cell]
Ga  0.500  0.000  0.500 [1 per cell]
Ni  0.001  0.751  0.249 [2 per cell]
Ni  0.498  0.249  0.750 [2 per cell]
Ni  0.498  0.749  0.750 [2 per cell]

Results
E_form ... -5.05 kcal/mol of atoms
M_tot ... 0.00 μB/atom
Total energy ... -0.3879 Ry/atom